Computed, not measured: a relaxed structure of RbSnTeS6 at the PBE-GGA level of DFT.

Output
The value obtained for the calculated total energy is -3.7331 eV/atom. The value obtained for the size of the total moment is 0.103 μB/atom.

Cell lengths 6.4112, 11.1218, 7.9352 Å; angles 90.00, 90.03, 90.00 degrees
Closest atoms and distances in Å follow each position.
Space group C2 (No. 5)
Inequivalent atoms, fractional coordinates:
Rb 0.0000 0.0000 0.0000 (multiplicity 2)  6 S 3.42
Sn 0.0000 0.3335 0.5000 (multiplicity 2)  6 S 2.56
Te 0.0000 0.6666 0.5000 (multiplicity 2)  6 S 2.50
S 0.1312 0.5040 0.3105 (multiplicity 4)  1 Te 2.50, 1 Sn 2.56
S 0.1784 0.8135 0.3103 (multiplicity 4)  1 Te 2.50, 1 Sn 2.56
S 0.1900 0.1824 0.3106 (multiplicity 4)  1 Te 2.50, 1 Sn 2.56